The following is a PBE calculation of a relaxed Co2TePb2 crystal, from the Alexandria database. Values from VASP.

Results
- Volume: 226 Å³ per cell

```
&SYSTEM
  ibrav = 0, nat = 10, ntyp = 3
/
ATOMIC_SPECIES
Co 58.93 Co.upf
Te 127.60 Te.upf
Pb 207.20 Pb.upf
ATOMIC_POSITIONS crystal
Co 0.0000 0.0000 0.0983
Co 0.0000 0.0000 0.9017
Co 0.5000 0.5000 0.4017
Co 0.5000 0.5000 0.5983
Te 0.0000 0.0000 0.5000
Te 0.5000 0.5000 0.0000
Pb 0.0000 0.5000 0.2500
Pb 0.0000 0.5000 0.7500
Pb 0.5000 0.0000 0.2500
Pb 0.5000 0.0000 0.7500
CELL_PARAMETERS angstrom
4.4527 0.0000 0.0000
0.0000 4.4527 0.0000
0.0000 0.0000 11.3910
```

The following is a PBE calculation of a relaxed KPRuO2 crystal, from the Alexandria database. Values from VASP.

Results
- Volume: 100 Å³ per cell
- Distance to the lowest polymorph of the same formula: 2005.3 meV per atom

```
&SYSTEM
  ibrav = 0, nat = 5, ntyp = 4
/
ATOMIC_SPECIES
K 39.10 K.upf
P 30.97 P.upf
Ru 101.07 Ru.upf
O 16.00 O.upf
ATOMIC_POSITIONS crystal
K 0.0000 0.0000 0.0000
P 0.0000 0.0000 0.5000
Ru 0.5000 0.5000 0.5000
O 0.0000 0.5000 0.0000
O 0.5000 0.0000 0.0000
CELL_PARAMETERS angstrom
4.0041 0.0000 0.0000
0.0000 4.0041 0.0000
0.0000 0.0000 6.2208
```

The following is a PBE calculation of a relaxed LaAsSe2 crystal, from the Alexandria database. Values from VASP.

Results
- Volume: 241 Å³ per cell

```
&SYSTEM
  ibrav = 0, nat = 8, ntyp = 3
/
ATOMIC_SPECIES
La 138.91 La.upf
As 74.92 As.upf
Se 78.96 Se.upf
ATOMIC_POSITIONS crystal
La 0.0000 0.0000 0.0000
La 0.5000 0.5000 0.0000
As 0.1616 0.0000 0.5843
As 0.6616 0.5000 0.5843
Se 0.1835 0.5000 0.9832
Se 0.4347 0.0000 0.4763
Se 0.6835 0.0000 0.9832
Se 0.9347 0.5000 0.4763
CELL_PARAMETERS angstrom
15.3395 0.0000 0.0000
0.0000 3.9157 0.0000
-0.3881 0.0000 4.0153
```

The following is a PBE calculation of a relaxed Sm2HoCrN4 crystal, from the Alexandria database. Values from VASP.

Results
- Volume: 236 Å³ per cell

```
&SYSTEM
  ibrav = 0, nat = 16, ntyp = 4
/
ATOMIC_SPECIES
Sm 150.36 Sm.upf
Ho 164.93 Ho.upf
Cr 52.00 Cr.upf
N 14.01 N.upf
ATOMIC_POSITIONS crystal
Sm 0.1325 0.8675 0.5426
Sm 0.1325 0.8675 0.9574
Sm 0.8675 0.1325 0.0426
Sm 0.8675 0.1325 0.4574
Ho 0.3839 0.6161 0.7500
Ho 0.6161 0.3839 0.2500
Cr 0.3423 0.6577 0.2500
Cr 0.6577 0.3423 0.7500
N 0.0714 0.9286 0.7500
N 0.2281 0.7719 0.1380
N 0.2281 0.7719 0.3620
N 0.5000 0.5000 0.0000
N 0.5000 0.5000 0.5000
N 0.7719 0.2281 0.6380
N 0.7719 0.2281 0.8620
N 0.9286 0.0714 0.2500
CELL_PARAMETERS angstrom
1.7019 -5.7693 0.0000
1.7019 5.7693 0.0000
0.0000 0.0000 12.0042
```

The following is a PBE calculation of a relaxed NaMnI2 crystal, from the Alexandria database. Values from VASP.

Results
- Volume: 479 Å³ per cell
- Distance to the lowest polymorph of the same formula: 195.8 meV per atom

```
&SYSTEM
  ibrav = 0, nat = 16, ntyp = 3
/
ATOMIC_SPECIES
Na 22.99 Na.upf
Mn 54.94 Mn.upf
I 126.90 I.upf
ATOMIC_POSITIONS crystal
Na 0.0000 0.0000 0.0000
Na 0.0000 0.5000 0.5000
Na 0.5000 0.0000 0.5000
Na 0.5000 0.5000 0.0000
Mn 0.0000 0.0000 0.5000
Mn 0.0000 0.5000 0.0000
Mn 0.5000 0.0000 0.0000
Mn 0.5000 0.5000 0.5000
I 0.2500 0.2500 0.2500
I 0.2500 0.2500 0.7500
I 0.2500 0.7500 0.2500
I 0.2500 0.7500 0.7500
I 0.7500 0.2500 0.2500
I 0.7500 0.2500 0.7500
I 0.7500 0.7500 0.2500
I 0.7500 0.7500 0.7500
CELL_PARAMETERS angstrom
7.8235 0.0000 0.0000
0.0000 7.8235 0.0000
0.0000 0.0000 7.8235
```

The following is a PBE calculation of a relaxed SrSb2TeRh crystal, from the Alexandria database. Values from VASP.

Results
- Volume: 210 Å³ per cell
- Distance to the lowest polymorph of the same formula: 1613.6 meV per atom

```
&SYSTEM
  ibrav = 0, nat = 5, ntyp = 4
/
ATOMIC_SPECIES
Sr 87.62 Sr.upf
Sb 121.76 Sb.upf
Te 127.60 Te.upf
Rh 102.91 Rh.upf
ATOMIC_POSITIONS crystal
Sr 0.0000 0.0000 0.0000
Sb 0.0000 0.5000 0.0000
Sb 0.5000 0.0000 0.0000
Te 0.0000 0.0000 0.5000
Rh 0.5000 0.5000 0.5000
CELL_PARAMETERS angstrom
5.9478 0.0000 0.0000
0.0000 5.9478 0.0000
0.0000 0.0000 5.9304
```

The following is a PBE calculation of a relaxed GePt3W crystal, from the Alexandria database. Values from VASP.

Results
- E_form: 1.057 eV/atom
- Volume: 116 Å³ per cell
- Distance to the lowest polymorph of the same formula: 0.0 meV per atom

```
&SYSTEM
  ibrav = 0, nat = 5, ntyp = 3
/
ATOMIC_SPECIES
Ge 72.64 Ge.upf
Pt 195.08 Pt.upf
W 183.84 W.upf
ATOMIC_POSITIONS crystal
Ge 0.0000 0.0000 0.0000
Pt 0.0000 0.5000 0.5000
Pt 0.5000 0.0000 0.5000
Pt 0.5000 0.5000 0.0000
W 0.5000 0.5000 0.5000
CELL_PARAMETERS angstrom
4.8712 0.0000 0.0000
0.0000 4.8712 0.0000
0.0000 0.0000 4.8712
```

VASP energy across the listed records, respectively: -4.36; -3.44; -5.19; -8.20; -3.55; -2.81; -6.08 eV per atom.
DOS(E_F) across the listed records, respectively: 1.51; 0.96; 0.24; 0.37; 1.26; 1.82; 0.73 states/eV per atom.